No. 1
VASP calculation (PBE) on V12Sn5Ir3 after structural relaxation.

abc: 13.0322 13.0322 13.0322
angles: 109.47 109.47 109.47
Fractional coordinates of all 80 atoms:
Ir  0.7500  0.3750  0.1250
Ir  0.8750  0.7500  0.1250
Ir  0.3750  0.7500  0.6250
Ir  0.2500  0.1250  0.3750
Ir  0.8750  0.1250  0.2500
Ir  0.3750  0.6250  0.2500
Ir  0.6250  0.3750  0.7500
Ir  0.1250  0.8750  0.7500
Ir  0.7500  0.8750  0.6250
Ir  0.6250  0.2500  0.3750
Ir  0.1250  0.2500  0.8750
Ir  0.2500  0.6250  0.8750
Sn  0.1250  0.3750  0.2500
Sn  0.0000  0.5000  0.0000
Sn  0.0000  0.0000  0.0000
Sn  0.3750  0.2500  0.1250
Sn  0.5000  0.0000  0.5000
Sn  0.5000  0.5000  0.0000
Sn  0.1250  0.7500  0.3750
Sn  0.7500  0.1250  0.8750
Sn  0.7500  0.6250  0.3750
Sn  0.3750  0.1250  0.7500
Sn  0.6250  0.8750  0.2500
Sn  0.5000  0.5000  0.5000
Sn  0.5000  0.0000  0.0000
Sn  0.0000  0.0000  0.5000
Sn  0.2500  0.3750  0.6250
Sn  0.2500  0.8750  0.1250
Sn  0.0000  0.5000  0.5000
Sn  0.8750  0.2500  0.6250
Sn  0.6250  0.7500  0.8750
Sn  0.8750  0.6250  0.7500
V  0.7469  0.1653  0.0889
V  0.3420  0.5889  0.4236
V  0.9111  0.3347  0.2531
V  0.5889  0.2469  0.1653
V  0.5816  0.7469  0.6580
V  0.9111  0.5764  0.1580
V  0.3420  0.7531  0.4184
V  0.0764  0.9184  0.1653
V  0.5764  0.9111  0.6580
V  0.7469  0.5816  0.1580
V  0.7531  0.4111  0.3347
V  0.8420  0.9236  0.0889
V  0.1653  0.7469  0.5889
V  0.3347  0.4236  0.0816
V  0.0816  0.9236  0.3347
V  0.4184  0.1653  0.5764
V  0.0816  0.1580  0.2469
V  0.4111  0.6580  0.0764
V  0.8420  0.9184  0.2531
V  0.1653  0.4184  0.0764
V  0.3347  0.9111  0.7531
V  0.5764  0.6653  0.4184
V  0.9236  0.8420  0.5889
V  0.7531  0.3420  0.9184
V  0.4236  0.3347  0.5816
V  0.0764  0.1580  0.4111
V  0.2469  0.6580  0.0816
V  0.1580  0.0816  0.7469
V  0.6653  0.0889  0.2469
V  0.8347  0.5816  0.9236
V  0.5889  0.3420  0.9236
V  0.5816  0.8347  0.4236
V  0.9184  0.8420  0.7531
V  0.9184  0.0764  0.6653
V  0.8347  0.2531  0.4111
V  0.1580  0.0764  0.9111
V  0.6653  0.5764  0.9184
V  0.4236  0.0889  0.3420
V  0.2531  0.4184  0.8420
V  0.2469  0.5889  0.6653
V  0.9236  0.0816  0.8347
V  0.6580  0.2469  0.5816
V  0.4111  0.7531  0.8347
V  0.0889  0.4236  0.8420
V  0.4184  0.2531  0.3420
V  0.0889  0.6653  0.7469
V  0.6580  0.4111  0.5764
V  0.2531  0.8347  0.9111

Summary:
The calculation puts the volume at 1703.9 Å³/cell. As for the formation energy: 62.6 kJ/mol of atoms. As for the total energy: -7.152 eV per atom. The value obtained for the total moment is 0.00 μB per cell. As for the space-group type: Ia-3d, No. 230. The calculated density is 6.9 g/cm3.

No. 2
VASP calculation (PBE) on CaNd2H6Ru after structural relaxation.

abc: 6.4766 4.9996 4.9996
angles: 120.00 90.00 90.00
Fractional coordinates of all 10 atoms:
Ca  0.5000  0.0000  0.0000
Nd  0.1877  0.3333  0.6667
Nd  0.8123  0.6667  0.3333
H  0.8392  0.1620  0.3240
H  0.8392  0.1620  0.8380
H  0.8392  0.6760  0.8380
H  0.1608  0.8380  0.1620
H  0.1608  0.3240  0.1620
H  0.1608  0.8380  0.6760
Ru  0.0000  0.0000  0.0000

Summary:
The calculation puts the volume at 140.2 Å³/cell. As for the total energy: -4.475 eV per atom. The value obtained for the total moment is 0.00 μB per cell. As for the space-group type: P-3m1, No. 164. The calculated density is 5.2 g/cm3.